[1]
The following is a DFT calculation (PBE-GGA) of a relaxed structure of Pm8CoOs2.

Cell and atoms, written as POSCAR:
```
Pm8CoOs2
1.0
-2.845 -5.282 -1.520
5.139 0.617 -5.624
3.178 -1.871 6.695
Pm Co Os
8 1 2
direct
0.592 0.349 0.085
0.592 0.085 0.349
0.185 0.357 0.357
0.993 0.203 0.795
0.993 0.795 0.203
0.791 0.646 0.646
0.371 0.923 0.662
0.371 0.662 0.923
0.148 0.003 0.003
0.481 0.695 0.315
0.481 0.315 0.695
```

Computed properties:
DOS(E_F), states/eV/atom: 1.08
Offset from the most stable computed form, kcal/mol of atoms: 1.01
Total magnetization, μB/cell: 0.00
Raw total energy, eV/atom: -6.141



[2]
The following is a DFT calculation (PBE-GGA) of a relaxed structure of Pm2CoOs3.

Cell and atoms, written as POSCAR:
```
Pm2CoOs3
1.0
4.702 -0.134 -2.457
-2.991 4.378 -0.238
-0.162 0.177 5.409
Pm Co Os
2 1 3
direct
0.752 0.376 0.128
0.248 0.624 0.872
0.000 0.000 0.000
0.500 0.500 0.500
0.000 0.000 0.500
0.500 0.000 0.500
```

Computed properties:
DOS(E_F), states/eV/atom: 0.97
Total magnetization, μB/cell: 0.64
Raw total energy, eV/atom: -8.528



[3]
The following is a DFT calculation (PBE-GGA) of a relaxed structure of Pm2Co3Os.

Cell and atoms, written as POSCAR:
```
Pm2Co3Os
1.0
-4.946 1.415 1.307
0.810 -4.072 -3.307
3.137 -2.170 3.434
Pm Co Os
2 3 1
direct
0.746 0.373 0.118
0.254 0.627 0.882
0.500 0.500 0.500
0.000 0.000 0.500
0.500 0.000 0.500
0.000 0.000 0.000
```

Computed properties:
DOS(E_F), states/eV/atom: 1.28
Total magnetization, μB/cell: 2.67
Raw total energy, eV/atom: -7.099



[4]
The following is a DFT calculation (PBE-GGA) of a relaxed structure of Pm8CoOs2.

Cell and atoms, written as POSCAR:
```
Pm8CoOs2
1.0
-3.740 0.731 2.775
-0.982 -7.117 0.551
7.336 1.562 5.471
Pm Co Os
8 1 2
direct
0.400 0.518 0.801
0.665 0.971 0.330
0.792 0.683 0.585
0.977 0.211 0.955
0.208 0.317 0.415
0.335 0.029 0.670
0.600 0.482 0.199
0.023 0.789 0.045
0.500 0.000 0.000
0.814 0.292 0.628
0.186 0.708 0.372
```

Computed properties:
DOS(E_F), states/eV/atom: 0.97
Offset from the most stable computed form, kcal/mol of atoms: 0.00
Total magnetization, μB/cell: 0.00
Raw total energy, eV/atom: -6.185